1.
# PuAgRh | Alexandria via LeMat-Bulk | PBE-GGA | optimized geometry
data_PuAgRh
_cell_length_a 3.384
_cell_length_b 3.384
_cell_length_c 5.779
_cell_angle_alpha 107.02
_cell_angle_beta 107.02
_cell_angle_gamma 90.00
_space_group_name_H-M_alt 'P 1'
_space_group_IT_number 1
_space_group_name_Hall 'P 1'
loop_
_atom_site_label
_atom_site_type_symbol
_atom_site_fract_x
_atom_site_fract_y
_atom_site_fract_z
Rh1 Rh 0.952 0.952 0.904
Ag1 Ag 0.299 0.299 0.599
Pu1 Pu 0.598 0.598 0.197
# E_form: -0.068 eV/atom

---

2.
# Pu3AgRh | Alexandria via LeMat-Bulk | PBE-GGA | optimized geometry
data_Pu3AgRh
_cell_length_a 7.049
_cell_length_b 7.049
_cell_length_c 7.049
_cell_angle_alpha 90.00
_cell_angle_beta 90.00
_cell_angle_gamma 90.00
_space_group_name_H-M_alt 'P 1'
_space_group_IT_number 1
_space_group_name_Hall 'P 1'
loop_
_atom_site_label
_atom_site_type_symbol
_atom_site_fract_x
_atom_site_fract_y
_atom_site_fract_z
Pu1 Pu 0.500 0.500 0.500
Pu2 Pu 0.231 0.231 0.231
Pu3 Pu 0.769 0.769 0.231
Pu4 Pu 0.769 0.231 0.769
Pu5 Pu 0.231 0.769 0.769
Pu6 Pu 0.231 0.231 0.769
Pu7 Pu 0.769 0.769 0.769
Pu8 Pu 0.231 0.769 0.231
Pu9 Pu 0.769 0.231 0.231
Ag1 Ag 0.000 0.500 0.500
Ag2 Ag 0.500 0.000 0.500
Ag3 Ag 0.500 0.500 0.000
Rh1 Rh 0.500 0.000 0.000
Rh2 Rh 0.000 0.500 0.000
Rh3 Rh 0.000 0.000 0.500
# E_form: -0.039 eV/atom

---

3.
# Pu12AgRh6 | Alexandria via LeMat-Bulk | PBE-GGA | optimized geometry
data_Pu12AgRh6
_cell_length_a 7.445
_cell_length_b 7.445
_cell_length_c 7.445
_cell_angle_alpha 90.13
_cell_angle_beta 90.13
_cell_angle_gamma 90.13
_space_group_name_H-M_alt 'P 1'
_space_group_IT_number 1
_space_group_name_Hall 'P 1'
loop_
_atom_site_label
_atom_site_type_symbol
_atom_site_fract_x
_atom_site_fract_y
_atom_site_fract_z
Pu1 Pu 0.813 0.539 0.406
Pu2 Pu 0.406 0.813 0.539
Pu3 Pu 0.539 0.406 0.813
Pu4 Pu 0.187 0.461 0.594
Pu5 Pu 0.594 0.187 0.461
Pu6 Pu 0.461 0.594 0.187
Pu7 Pu 0.054 0.139 0.383
Pu8 Pu 0.861 0.617 0.946
Pu9 Pu 0.617 0.946 0.861
Pu10 Pu 0.946 0.861 0.617
Pu11 Pu 0.139 0.383 0.054
Pu12 Pu 0.383 0.054 0.139
Ag1 Ag 0.000 0.000 0.000
Rh1 Rh 0.729 0.883 0.252
Rh2 Rh 0.748 0.271 0.117
Rh3 Rh 0.117 0.748 0.271
Rh4 Rh 0.271 0.117 0.748
Rh5 Rh 0.252 0.729 0.883
Rh6 Rh 0.883 0.252 0.729
# E_form: -0.134 eV/atom

---

4.
# PuAgRh2 | Alexandria via LeMat-Bulk | PBE-GGA | optimized geometry
data_PuAgRh2
_cell_length_a 3.768
_cell_length_b 4.308
_cell_length_c 4.308
_cell_angle_alpha 90.00
_cell_angle_beta 90.00
_cell_angle_gamma 90.00
_space_group_name_H-M_alt 'P 1'
_space_group_IT_number 1
_space_group_name_Hall 'P 1'
loop_
_atom_site_label
_atom_site_type_symbol
_atom_site_fract_x
_atom_site_fract_y
_atom_site_fract_z
Rh1 Rh 0.000 0.000 0.500
Rh2 Rh 0.000 0.500 0.000
Ag1 Ag 0.500 0.500 0.500
Pu1 Pu 0.500 0.000 0.000
# E_form: -0.284 eV/atom

---

5.
# Pu6AgRh3 | Alexandria via LeMat-Bulk | PBE-GGA | optimized geometry
data_Pu6AgRh3
_cell_length_a 7.849
_cell_length_b 7.131
_cell_length_c 7.131
_cell_angle_alpha 97.97
_cell_angle_beta 90.00
_cell_angle_gamma 90.00
_space_group_name_H-M_alt 'P 1'
_space_group_IT_number 1
_space_group_name_Hall 'P 1'
loop_
_atom_site_label
_atom_site_type_symbol
_atom_site_fract_x
_atom_site_fract_y
_atom_site_fract_z
Pu1 Pu 0.081 0.722 0.643
Pu2 Pu 0.581 0.643 0.722
Pu3 Pu 0.282 0.697 0.895
Pu4 Pu 0.782 0.895 0.697
Pu5 Pu 0.354 0.032 0.968
Pu6 Pu 0.684 0.243 0.757
Pu7 Pu 0.184 0.757 0.243
Pu8 Pu 0.854 0.968 0.032
Pu9 Pu 0.282 0.105 0.303
Pu10 Pu 0.782 0.303 0.105
Pu11 Pu 0.081 0.357 0.278
Pu12 Pu 0.581 0.278 0.357
Ag1 Ag 0.061 0.225 0.775
Ag2 Ag 0.561 0.775 0.225
Rh1 Rh 0.415 0.971 0.590
Rh2 Rh 0.915 0.590 0.971
Rh3 Rh 0.330 0.370 0.630
Rh4 Rh 0.830 0.630 0.370
Rh5 Rh 0.915 0.029 0.410
Rh6 Rh 0.415 0.410 0.029
# E_form: 0.014 eV/atom

---

6.
# Pu2AgRh | Alexandria via LeMat-Bulk | PBE-GGA | optimized geometry
data_Pu2AgRh
_cell_length_a 3.358
_cell_length_b 3.358
_cell_length_c 7.902
_cell_angle_alpha 90.00
_cell_angle_beta 90.00
_cell_angle_gamma 90.00
_space_group_name_H-M_alt 'P 1'
_space_group_IT_number 1
_space_group_name_Hall 'P 1'
loop_
_atom_site_label
_atom_site_type_symbol
_atom_site_fract_x
_atom_site_fract_y
_atom_site_fract_z
Rh1 Rh 0.500 0.500 0.000
Ag1 Ag 0.500 0.500 0.500
Pu1 Pu 0.000 0.000 0.781
Pu2 Pu 0.000 0.000 0.219
# E_form: -0.207 eV/atom